## LiRuI3 (SCAN)

Data for LiRuI3 at its PBEsol-relaxed geometry.

The structure belongs to space group Pm-3m (No. 221); the cell edges are 5.253, 5.253 and 5.253 Å and the angles 90.00°, 90.00° and 90.00°. The inequivalent atoms are Li at (0.000, 0.000, 0.000), Ru at (0.500, 0.500, 0.500) and I at (0.000, 0.000, 0.500).

***

## YMgTiS4 (SCAN)

Data for YMgTiS4 at its PBEsol-relaxed geometry.

The structure belongs to space group Imma (No. 74); the cell edges are 7.284, 7.690 and 10.705 Å and the angles 90.00°, 90.00° and 90.00°. The inequivalent atoms are Y at (0.000, 0.000, 0.000), Mg at (0.000, 0.250, 0.370), Ti at (0.250, 0.250, 0.750), S at (0.000, 0.026, 0.748) and S at (0.248, 0.250, 0.520).

***

## HgMoO4 (SCAN)

Data for HgMoO4 at its PBEsol-relaxed geometry.

The structure belongs to space group C2/c (No. 15); the cell edges are 11.314, 6.072 and 5.131 Å and the angles 90.00°, 112.61° and 90.00°. The inequivalent atoms are Hg at (0.250, 0.250, 0.000), Mo at (0.000, 0.190, 0.250), O at (0.097, 0.090, 0.034) and O at (0.114, 0.365, 0.473).

***

Computed ΔE_f (raw), in the same sequence as the records: 2.7; -12.9; -9.3 eV/f.u..
Computed M_tot, in the same sequence as the records: 3.7; 1.0; 0.0 μB/f.u..